P) # IrS2NO | the Alexandria database | GGA-PBE | relaxed
data_IrS2NO
_symmetry_space_group_name_H-M 'P 4/m m m'
_symmetry_Int_Tables_number 123
_symmetry_space_group_name_Hall '-P 4 2'
_cell_length_a 4.7576
_cell_length_b 4.7576
_cell_length_c 3.6436
_cell_angle_alpha 90.00
_cell_angle_beta 90.00
_cell_angle_gamma 90.00
loop_
_atom_site_label
_atom_site_type_symbol
_atom_site_fract_x
_atom_site_fract_y
_atom_site_fract_z
Ir1 Ir 0.0000 0.0000 0.0000
S1 S 0.0000 0.5000 0.0000
N1 N 0.0000 0.0000 0.5000
O1 O 0.5000 0.5000 0.5000
# **Total moment**: 0.25 μB per formula unit

Q) # IrS2NO | the Alexandria database | GGA-PBE | relaxed
data_IrS2NO
_symmetry_space_group_name_H-M 'P 4/m m m'
_symmetry_Int_Tables_number 123
_symmetry_space_group_name_Hall '-P 4 2'
_cell_length_a 4.0306
_cell_length_b 4.0306
_cell_length_c 3.7344
_cell_angle_alpha 90.00
_cell_angle_beta 90.00
_cell_angle_gamma 90.00
loop_
_atom_site_label
_atom_site_type_symbol
_atom_site_fract_x
_atom_site_fract_y
_atom_site_fract_z
Ir1 Ir 0.0000 0.0000 0.0000
S1 S 0.0000 0.5000 0.5000
N1 N 0.5000 0.5000 0.0000
O1 O 0.5000 0.5000 0.5000
# **Total moment**: 0.00 μB per formula unit

Which one sits at the bottom of the stability order? Q) does.